Record 1
# AcTb7Ho12 (PBE, relaxed)
data_AcTb7Ho12
_chemical_formula_sum 'Ac3 Tb21 Ho36'
_space_group_name_H-M_alt 'R -3'
_space_group_IT_number 148
_space_group_name_Hall '-R 3'
_cell_length_a 12.0144
_cell_length_b 12.0144
_cell_length_c 15.8509
_cell_angle_alpha 90.00
_cell_angle_beta 90.00
_cell_angle_gamma 120.00
loop_
_atom_site_label
_atom_site_fract_x
_atom_site_fract_y
_atom_site_fract_z
Ac1 0.0000 0.0000 0.0000
Tb1 0.0000 0.0000 0.5000
Tb2 0.0486 0.8587 0.7954
Ho1 0.0087 0.5676 0.7176
Ho2 0.0494 0.4611 0.0840
# Offset from the most stable computed form: 0 meV per atom
# DFT total energy: -0.159 hartree per atom
# Formation energy from the elements: 0.24 eV per atom


Record 2
# AcTb2Ho (PBE, relaxed)
data_AcTb2Ho
_chemical_formula_sum 'Ac1 Tb2 Ho1'
_space_group_name_H-M_alt 'P 4/m m m'
_space_group_IT_number 123
_space_group_name_Hall '-P 4 2'
_cell_length_a 5.157
_cell_length_b 5.157
_cell_length_c 5.194
_cell_angle_alpha 90.00
_cell_angle_beta 90.00
_cell_angle_gamma 90.00
loop_
_atom_site_label
_atom_site_fract_x
_atom_site_fract_y
_atom_site_fract_z
Ac1 0.000 0.000 0.000
Tb1 0.000 0.500 0.500
Ho1 0.500 0.500 0.000
# Offset from the most stable computed form: 1 meV per atom
# DFT total energy: -0.163 hartree per atom
# Formation energy from the elements: 0.06 eV per atom


Record 3
# Ac2Tb3Ho7 (PBE, relaxed)
data_Ac2Tb3Ho7
_chemical_formula_sum 'Ac2 Tb3 Ho7'
_space_group_name_H-M_alt 'P 1 2/m 1'
_space_group_IT_number 10
_space_group_name_Hall '-P 2y'
_cell_length_a 6.423
_cell_length_b 3.590
_cell_length_c 17.500
_cell_angle_alpha 90.00
_cell_angle_beta 90.19
_cell_angle_gamma 90.00
loop_
_atom_site_label
_atom_site_fract_x
_atom_site_fract_y
_atom_site_fract_z
Ac1 0.005 0.000 0.176
Tb1 0.000 0.000 0.500
Tb2 0.498 0.500 0.159
Ho1 0.178 0.500 0.341
Ho2 0.260 0.000 0.000
Ho3 0.332 0.000 0.662
Ho4 0.500 0.500 0.500
# DFT total energy: -0.162 hartree per atom
# Formation energy from the elements: 0.11 eV per atom


Record 4
# AcTb5Ho2 (PBE, relaxed)
data_AcTb5Ho2
_chemical_formula_sum 'Ac4 Tb20 Ho8'
_space_group_name_H-M_alt 'P b a m'
_space_group_IT_number 55
_space_group_name_Hall '-P 2 2ab'
_cell_length_a 7.208
_cell_length_b 14.414
_cell_length_c 10.193
_cell_angle_alpha 90.00
_cell_angle_beta 90.00
_cell_angle_gamma 90.00
loop_
_atom_site_label
_atom_site_fract_x
_atom_site_fract_y
_atom_site_fract_z
Ac1 0.249 0.124 0.000
Tb1 0.000 0.500 0.259
Tb2 0.001 0.750 0.258
Tb3 0.249 0.375 0.000
Tb4 0.250 0.375 0.500
Ho1 0.000 0.000 0.259
Ho2 0.249 0.125 0.500
# DFT total energy: -0.166 hartree per atom
# Formation energy from the elements: 0.04 eV per atom


Record 5
# AcTb10Ho4 (PBE, relaxed)
data_AcTb10Ho4
_chemical_formula_sum 'Ac2 Tb20 Ho8'
_space_group_name_H-M_alt 'I 4/m'
_space_group_IT_number 87
_space_group_name_Hall '-I 4'
_cell_length_a 12.699
_cell_length_b 12.699
_cell_length_c 6.696
_cell_angle_alpha 90.00
_cell_angle_beta 90.00
_cell_angle_gamma 90.00
loop_
_atom_site_label
_atom_site_fract_x
_atom_site_fract_y
_atom_site_fract_z
Ac1 0.000 0.000 0.000
Tb1 0.000 0.500 0.250
Tb2 0.129 0.709 0.249
Ho1 0.067 0.180 0.500
# DFT total energy: -0.149 hartree per atom
# Formation energy from the elements: 0.52 eV per atom


Record 6
# AcTb2Ho (PBE, relaxed)
data_AcTb2Ho
_chemical_formula_sum 'Ac3 Tb6 Ho3'
_space_group_name_H-M_alt 'R -3 m'
_space_group_IT_number 166
_space_group_name_Hall '-R 3 2"'
_cell_length_a 3.5792
_cell_length_b 3.5792
_cell_length_c 38.0521
_cell_angle_alpha 90.00
_cell_angle_beta 90.00
_cell_angle_gamma 120.00
loop_
_atom_site_label
_atom_site_fract_x
_atom_site_fract_y
_atom_site_fract_z
Ac1 0.0000 0.0000 0.0000
Tb1 0.0000 0.0000 0.0928
Ho1 0.0000 0.0000 0.5000
# Offset from the most stable computed form: 125 meV per atom
# DFT total energy: -0.158 hartree per atom
# Formation energy from the elements: 0.18 eV per atom